No. 1
Compound: PmDyMnTl
Source: Alexandria via LeMat-Bulk
Functional: GGA-PBE
Structure: relaxed

abc: 7.472 7.472 7.472
angles: 90.00 90.00 90.00
Fractional coordinates of all 16 atoms:
1 Pm 0.000 0.000 0.000
2 Pm 0.000 0.500 0.500
3 Pm 0.500 0.000 0.500
4 Pm 0.500 0.500 0.000
5 Dy 0.000 0.000 0.500
6 Dy 0.000 0.500 0.000
7 Dy 0.500 0.000 0.000
8 Dy 0.500 0.500 0.500
9 Mn 0.250 0.250 0.750
10 Mn 0.250 0.750 0.250
11 Mn 0.750 0.250 0.250
12 Mn 0.750 0.750 0.750
13 Tl 0.250 0.250 0.250
14 Tl 0.250 0.750 0.750
15 Tl 0.750 0.250 0.750
16 Tl 0.750 0.750 0.250

## Properties
formation enthalpy at 0 K: -0.0077 eV/atom
final energy: -5.23 eV/atom
D(E_F): 1.16 states/eV per atom
SG: F-43m (216)

***

No. 2
Compound: K2Cd5Pt5
Source: Alexandria via LeMat-Bulk
Functional: GGA-PBE
Structure: relaxed

abc: 4.557 5.751 9.999
angles: 90.00 90.00 90.00
Fractional coordinates of all 12 atoms:
1 K 0.000 0.000 0.000
2 K 0.000 0.500 0.500
3 Cd 0.000 0.000 0.315
4 Cd 0.000 0.000 0.685
5 Cd 0.000 0.500 0.167
6 Cd 0.000 0.500 0.833
7 Cd 0.500 0.000 0.500
8 Pt 0.500 0.248 0.243
9 Pt 0.500 0.248 0.757
10 Pt 0.500 0.500 0.000
11 Pt 0.500 0.752 0.243
12 Pt 0.500 0.752 0.757

## Properties
formation enthalpy at 0 K: -0.2612 eV/atom
final energy: -3.34 eV/atom
D(E_F): 0.33 states/eV per atom
SG: Pmmm (47)

***

No. 3
Compound: B2H6Ir
Source: Alexandria via LeMat-Bulk
Functional: GGA-PBE
Structure: relaxed

abc: 4.457 4.457 4.457
angles: 68.01 68.01 68.01
Fractional coordinates of all 9 atoms:
1 B 0.213 0.213 0.213
2 B 0.787 0.787 0.787
3 H 0.137 0.137 0.549
4 H 0.137 0.549 0.137
5 H 0.451 0.863 0.863
6 H 0.549 0.137 0.137
7 H 0.863 0.451 0.863
8 H 0.863 0.863 0.451
9 Ir 0.000 0.000 0.000

## Properties
final energy: -4.27 eV/atom
D(E_F): 0.30 states/eV per atom
offset from the most stable computed form: 0 kJ/mol of formula units
SG: R-3m (166)

***

No. 4
Compound: Y6Ho3Er2Sc
Source: Alexandria via LeMat-Bulk
Functional: GGA-PBE
Structure: relaxed

abc: 6.103 6.103 11.678
angles: 94.99 94.99 119.95
Fractional coordinates of all 12 atoms:
1 Y 0.082 0.413 0.247
2 Y 0.249 0.249 0.753
3 Y 0.413 0.082 0.247
4 Y 0.587 0.918 0.753
5 Y 0.751 0.751 0.247
6 Y 0.918 0.587 0.753
7 Ho 0.167 0.833 0.500
8 Ho 0.500 0.500 0.500
9 Ho 0.833 0.167 0.500
10 Er 0.333 0.667 0.000
11 Er 0.667 0.333 0.000
12 Sc 0.000 0.000 0.000

## Properties
formation enthalpy at 0 K: 0.0351 eV/atom
final energy: -5.63 eV/atom
D(E_F): 1.52 states/eV per atom
SG: C2/m (12)

***

No. 5
Compound: La2Ir
Source: Alexandria via LeMat-Bulk
Functional: GGA-PBE
Structure: relaxed

abc: 6.018 6.018 6.018
angles: 60.00 60.00 60.00
Fractional coordinates of all 6 atoms:
1 La 0.000 0.000 0.000
2 La 0.000 0.000 0.500
3 La 0.000 0.500 0.000
4 La 0.500 0.000 0.000
5 Ir 0.375 0.375 0.375
6 Ir 0.625 0.625 0.625

## Properties
formation enthalpy at 0 K: 0.6906 eV/atom
final energy: -5.55 eV/atom
D(E_F): 1.39 states/eV per atom
SG: Fd-3m (227)

***

No. 6
Compound: Zr2TcOs
Source: Alexandria via LeMat-Bulk
Functional: GGA-PBE
Structure: relaxed

abc: 2.869 4.974 10.507
angles: 90.00 90.00 90.00
Fractional coordinates of all 8 atoms:
1 Zr 0.000 0.000 0.246
2 Zr 0.000 0.000 0.754
3 Zr 0.500 0.500 0.254
4 Zr 0.500 0.500 0.746
5 Tc 0.000 0.000 0.500
6 Tc 0.500 0.500 0.000
7 Os 0.000 0.000 0.000
8 Os 0.500 0.500 0.500

## Properties
formation enthalpy at 0 K: 0.6484 eV/atom
final energy: -9.02 eV/atom
D(E_F): 1.09 states/eV per atom
SG: Immm (71)

***

Number 1: total moment 0.833 μB per atom. Number 2: total moment 0.000 μB per atom. Number 3: total moment 0.000 μB per atom. Number 4: total moment 0.000 μB per atom. Number 5: total moment 0.000 μB per atom. Number 6: total moment 0.000 μB per atom.